Below is crystalline Ce3ScB2Rh9 at its relaxed geometry, with properties calculated at the PBE level.

Values from the calculation:
D(E_F), states/eV/cell: 14.76
Space group: No. 164
Final energy, eV per atom: -7.52
Calculated formation energy, meV per atom: -614
Density, g/cm³: 9.1

```
15
Lattice="5.809 0.000 0.000 -2.904 5.031 0.000 0.000 0.000 8.848" Properties=species:S:1:pos:R:3 pbc="T T T"
Ce 0.000 0.000 0.000
Ce 0.000 3.354 5.942
Ce 2.904 1.677 2.905
Sc 0.000 0.000 4.424
B 0.000 3.354 1.283
B 2.904 1.677 7.565
Rh -1.452 2.515 0.000
Rh 0.000 1.668 2.464
Rh -1.460 4.197 2.464
Rh 1.444 0.834 6.383
Rh 2.904 0.000 0.000
Rh 1.452 2.515 0.000
Rh 1.460 4.197 2.464
Rh 4.364 0.834 6.383
Rh 2.904 3.363 6.383
```